Entry 1:
# Hf2AsPb

Crystalline Hf2AsPb at its relaxed geometry (PBE, Alexandria).

The structure in POSCAR format:
```
Hf2AsPb
1.0
-3.1157 3.1157 6.4308
3.1157 -3.1157 6.4308
3.1157 3.1157 -6.4308
Hf As Pb
4 2 2
Cartesian
4.6736 1.3425 -1.6077
1.3425 1.5579 1.6077
-1.5579 1.7732 4.8231
1.7732 1.5579 8.0385
0.0000 0.0000 0.0000
0.0000 3.1157 3.2154
3.1157 0.0000 3.2154
0.0000 0.0000 6.4308
```

Values from the calculation:
Symmetry: I-42d, No. 122
V: 31.21 A^3/atom
ΔH_f (0 K): 0.3358 eV per atom

=====

Entry 2:
# Dy2Ga2Ni15

Crystalline Dy2Ga2Ni15 at its relaxed geometry (PBE, Alexandria).

The structure in POSCAR format:
```
Dy2Ga2Ni15
1.0
4.1603 2.4019 4.0886
-4.1603 2.4019 4.0886
0.0000 -4.8039 4.0886
Dy Ga Ni
2 2 15
Cartesian
0.0000 0.0000 1.8531
0.0000 0.0000 10.4126
0.0000 0.0000 4.8652
0.0000 0.0000 7.4005
-2.0801 -1.2010 4.0886
0.0000 -2.3954 3.9351
-2.0745 1.1977 3.9351
-1.2407 -2.1490 6.1328
-2.4814 0.0000 6.1328
-2.0745 -1.1977 8.3306
-2.0801 1.2010 8.1771
1.2407 -2.1490 6.1328
0.0000 2.4019 4.0886
-1.2407 2.1490 6.1328
2.0745 1.1977 3.9351
2.4814 0.0000 6.1328
1.2407 2.1490 6.1328
2.0745 -1.1977 8.3305
0.0000 2.3954 8.3305
```

Values from the calculation:
Symmetry: R-3m, No. 166
V: 12.90 A^3/atom
ΔH_f (0 K): -0.2697 eV per atom

=====

Entry 3:
# Pa2VTc

Crystalline Pa2VTc at its relaxed geometry (PBE, Alexandria).

The structure in POSCAR format:
```
Pa2VTc
1.0
0.0000 3.4341 3.4341
3.4341 0.0000 3.4341
3.4341 3.4341 0.0000
Pa V Tc
2 1 1
Cartesian
1.7171 1.7171 1.7171
5.1512 5.1512 5.1512
0.0000 0.0000 0.0000
3.4341 3.4341 3.4341
```

Values from the calculation:
Symmetry: Fm-3m, No. 225
V: 20.25 A^3/atom
ΔH_f (0 K): 0.1200 eV per atom

=====

Entry 4:
# PmNd12Ni7

Crystalline PmNd12Ni7 at its relaxed geometry (PBE, Alexandria).

The structure in POSCAR format:
```
PmNd12Ni7
1.0
7.3055 4.2178 2.8825
-7.3055 4.2178 2.8825
0.0000 -8.4356 2.8825
Pm Nd Ni
1 12 7
Cartesian
0.0000 0.0000 0.0000
-1.0171 -4.8727 2.7383
-2.6449 -0.5798 3.2407
-3.7113 3.3172 2.7383
-4.7284 -1.5555 5.9092
1.8246 -2.0007 3.2407
-0.8203 -2.5805 5.4068
0.8203 2.5805 3.2407
-1.8246 2.0007 5.4068
4.7284 1.5555 2.7383
3.7113 -3.3172 5.9092
2.6449 0.5798 5.4068
1.0171 4.8727 5.9092
-0.7078 -2.1719 2.0217
-1.5271 1.6989 2.0217
2.2349 0.4730 2.0217
0.0000 0.0000 4.3238
-2.2348 -0.4730 6.6258
1.5271 -1.6989 6.6258
0.7078 2.1719 6.6258
```

Values from the calculation:
Symmetry: R-3, No. 148
V: 26.65 A^3/atom
ΔH_f (0 K): -0.1124 eV per atom

=====

Entry 5:
# Pm2Tm2Ag3

Crystalline Pm2Tm2Ag3 at its relaxed geometry (PBE, Alexandria).

The structure in POSCAR format:
```
Pm2Tm2Ag3
1.0
5.0769 0.0000 0.0000
-2.5374 4.4086 0.0000
-0.0065 -2.9310 8.4343
Pm Tm Ag
2 2 3
Cartesian
0.0061 0.0024 3.1885
2.5269 1.4752 5.2458
0.0027 2.9392 1.0540
2.5304 -1.4616 7.3803
0.0000 0.0000 0.0000
-0.0048 0.0067 6.4257
2.5378 1.4709 2.0086
```

Values from the calculation:
Symmetry: P-1, No. 2
V: 26.97 A^3/atom
ΔH_f (0 K): -0.1540 eV per atom

=====

Entry 6:
# Si2TeIr

Crystalline Si2TeIr at its relaxed geometry (PBE, Alexandria).

The structure in POSCAR format:
```
Si2TeIr
1.0
2.8935 0.0000 0.0000
0.0000 3.3373 0.0000
0.0000 0.0000 7.4526
Si Te Ir
2 1 1
Cartesian
0.0000 0.0000 1.3969
0.0000 0.0000 6.0557
1.4468 1.6686 3.7263
1.4468 1.6686 0.0000
```

Values from the calculation:
Symmetry: Pmmm, No. 47
V: 17.99 A^3/atom
E_form (uncorrected): 0.16 eV per atom